The following is a PBE calculation of a geometry-optimized YAg3Cl7 structure, from the Alexandria database.

Output
**Electronic total energy**: -39.6 eV/f.u.
**SG**: Cm, No. 8
**ΔE_f (raw)**: -1057.7 meV per atom

Lattice parameters (Å, degrees): 7.142 7.142 8.843 54.99 54.99 72.23
Element x y z (fractional)
Cl  0.604  0.604  0.283
Cl  0.899  0.899  0.376
Cl  0.424  0.992  0.832
Cl  0.015  0.015  0.680
Cl  0.126  0.527  0.148
Cl  0.527  0.126  0.148
Cl  0.992  0.424  0.832
Ag  0.563  0.563  0.974
Ag  0.781  0.241  0.472
Ag  0.241  0.781  0.472
Y  0.953  0.953  0.033


The following is a PBE calculation of a geometry-optimized KLiEr2Br8 structure, from the Alexandria database.

Output
**Electronic total energy**: -46.5 eV/f.u.
**SG**: P2/m, No. 10
**ΔE_f (raw)**: -1752.2 meV per atom

Lattice parameters (Å, degrees): 7.163 6.955 8.548 90.00 90.00 82.29
Element x y z (fractional)
Br  0.826  0.246  0.781
Br  0.174  0.754  0.219
Br  0.644  0.715  0.000
Br  0.174  0.754  0.781
Br  0.636  0.704  0.500
Br  0.826  0.246  0.219
Br  0.364  0.296  0.500
Br  0.356  0.285  0.000
K  0.000  0.000  0.500
Li  0.000  0.000  0.000
Er  0.500  0.500  0.757
Er  0.500  0.500  0.243